VASP calculation (PBE) on a relaxed La4TbDyEr2 crystal.

abc: 5.222 5.249 9.917
angles: 90.00 90.00 90.00
Fractional positions:
La 0.000 0.000 0.250
La 0.000 0.000 0.750
La 0.500 0.500 0.250
La 0.500 0.500 0.750
Tb 0.000 0.500 0.000
Dy 0.500 0.000 0.500
Er 0.000 0.500 0.500
Er 0.500 0.000 0.000

The symmetry is No. 47. The energy is -4.737 eV/atom. The calculation puts the formation energy at 0.02 eV per atom.

=====

VASP calculation (PBE) on a relaxed Li2ScZn crystal.

abc: 3.356 4.598 4.949
angles: 90.00 90.00 90.00
Fractional positions:
Li 0.000 0.000 0.000
Li 0.500 0.500 0.000
Sc 0.000 0.500 0.500
Zn 0.500 0.000 0.500

The symmetry is No. 47. The energy is -2.869 eV/atom. The calculation puts the formation energy at -0.01 eV per atom.

=====

VASP calculation (PBE) on a relaxed Nd2CuIr crystal.

abc: 5.000 5.000 3.617
angles: 90.00 90.00 90.00
Fractional positions:
Nd 0.000 0.500 0.000
Nd 0.500 0.000 0.000
Cu 0.000 0.000 0.500
Ir 0.500 0.500 0.500

The symmetry is No. 123. The energy is -6.014 eV/atom. The calculation puts the formation energy at -0.39 eV per atom.

=====

VASP calculation (PBE) on a relaxed Si3Sb crystal.

abc: 11.493 11.493 11.493
angles: 161.50 161.50 26.27
Fractional positions:
Si 0.000 0.500 0.500
Si 0.173 0.173 0.000
Si 0.250 0.750 0.500
Si 0.500 0.000 0.500
Si 0.750 0.250 0.500
Si 0.827 0.827 0.000
Sb 0.398 0.398 0.000
Sb 0.602 0.602 0.000

The symmetry is No. 139. The energy is -4.672 eV/atom. The value obtained for the raw formation energy is 0.4261 eV/atom. Its polymorph energy (0 for the lowest one) is 8.51 kJ/mol of atoms.

=====

VASP calculation (PBE) on a relaxed KRuBr crystal.

abc: 4.928 4.928 4.928
angles: 60.00 60.00 60.00
Fractional positions:
K 0.000 0.000 0.000
Ru 0.500 0.500 0.500
Br 0.750 0.750 0.750

The symmetry is No. 216. The energy is -3.261 eV/atom. The value obtained for the raw formation energy is 0.7542 eV/atom. Its polymorph energy (0 for the lowest one) is 34.50 kJ/mol of atoms.

=====

VASP calculation (PBE) on a relaxed Y6Ho8Tm crystal.

abc: 6.135 8.675 9.357
angles: 107.96 96.24 90.14
Fractional positions:
Y 0.035 0.067 0.201
Y 0.168 0.333 0.999
Y 0.301 0.601 0.800
Y 0.699 0.399 0.200
Y 0.832 0.667 0.001
Y 0.965 0.933 0.799
Ho 0.100 0.200 0.599
Ho 0.233 0.468 0.401
Ho 0.367 0.735 0.202
Ho 0.433 0.867 0.599
Ho 0.567 0.133 0.401
Ho 0.633 0.265 0.798
Ho 0.767 0.532 0.599
Ho 0.900 0.800 0.401
Tm 0.500 0.000 0.000

The symmetry is No. 2. The energy is -5.301 eV/atom. Its polymorph energy (0 for the lowest one) is 0.00 kJ/mol of atoms. The calculation puts the formation energy at 0.02 eV per atom.

=====

VASP calculation (PBE) on a relaxed ZrMo crystal.

abc: 3.343 3.343 3.343
angles: 90.00 90.00 90.00
Fractional positions:
Zr 0.000 0.000 0.000
Mo 0.500 0.500 0.500

The symmetry is No. 221. The energy is -9.632 eV/atom. Its polymorph energy (0 for the lowest one) is 9.61 kJ/mol of atoms. The calculation puts the formation energy at 0.06 eV per atom.

=====

VASP calculation (PBE) on a relaxed NpCdGe2O8 crystal.

abc: 5.910 5.910 5.910
angles: 107.31 107.31 113.89
Fractional positions:
Np 0.000 0.000 0.000
Cd 0.250 0.750 0.500
Ge 0.500 0.500 0.000
Ge 0.750 0.250 0.500
O 0.305 0.126 0.821
O 0.305 0.484 0.179
O 0.380 0.079 0.302
O 0.516 0.695 0.821
O 0.777 0.079 0.698
O 0.874 0.695 0.179
O 0.921 0.223 0.302
O 0.921 0.620 0.698

The symmetry is No. 119. The energy is -6.971 eV/atom. The value obtained for the raw formation energy is -1.7410 eV/atom.

=====

no.,calculated volume (A^3/atom),ρ (Mg/m³)
1,34.0,7.4
2,19.1,2.7
3,22.6,10.0
4,19.1,4.5
5,28.2,4.3
6,31.4,7.1
7,18.7,8.3
8,13.2,6.5